Material: GaBi2HBr
Method: DFT, GGA-PBEsol
State: relaxed

## Properties
Raw total energy (eV per atom): -3.302

Cell lengths 5.8008, 5.8008, 3.3823 Å; angles 90.00, 90.00, 90.00 degrees
Fractional positions:
Ga 0.0000 0.0000 0.0000
Bi 0.0000 0.5000 0.0000
Bi 0.5000 0.0000 0.0000
H 0.0000 0.0000 0.5000
Br 0.5000 0.5000 0.5000